1.
! Co3Os (PBEsol, relaxed); values from VASP
! theoretical density = 13.94 Mg/m³
! total moment = 3.40 μB/cell
! energy = -70.378 eV per cell
! space group = No. 59
&SYSTEM
  ibrav = 0, nat = 8, ntyp = 2
/
ATOMIC_SPECIES
Co 58.93 Co.upf
Os 190.23 Os.upf
CELL_PARAMETERS angstrom
-3.6457 -0.2055 1.7101
-1.7725 -0.8084 -3.8758
0.6230 -4.9068 0.7385
ATOMIC_POSITIONS angstrom
Co -2.4122 -0.3716 -0.4338
Co 0.1770 -3.8159 -0.0812
Co -2.8377 -4.4555 -1.8318
Co -0.8715 -2.9929 -2.2177
Co -0.1353 -1.3560 -0.4514
Co -3.1485 -2.0085 -2.2001
Os -1.1816 -0.5389 -2.5839
Os -2.1021 -2.8256 -0.0677

2.
! Ba2YRe (PBEsol, relaxed); values from VASP
! theoretical density = 7.89 Mg/m³
! total moment = 0.01 μB/cell
! energy = -20.285 eV per cell
! polymorph energy (0 for the lowest one) = 0.00 kcal/mol of atoms
! space group = No. 10
&SYSTEM
  ibrav = 0, nat = 4, ntyp = 3
/
ATOMIC_SPECIES
Ba 137.33 Ba.upf
Re 186.21 Re.upf
Y 88.91 Y.upf
CELL_PARAMETERS angstrom
-1.0530 -3.0124 -1.7922
1.5971 -2.9613 4.0389
-4.9948 1.7743 3.2759
ATOMIC_POSITIONS angstrom
Ba -3.9801 1.0152 2.3181
Ba -2.0677 -2.2532 -0.8344
Re 0.2720 -2.9868 1.1233
Y -2.2254 -2.0997 2.7613

3.
! MnTc2NiS (PBEsol, relaxed); values from VASP
! theoretical density = 7.39 Mg/m³
! total moment = 0.47 μB/cell
! energy = -36.289 eV per cell
! E_form (uncorrected) = 1.309 eV per atom
! space group = No. 123
&SYSTEM
  ibrav = 0, nat = 5, ntyp = 4
/
ATOMIC_SPECIES
Ni 58.69 Ni.upf
S 32.06 S.upf
Mn 54.94 Mn.upf
Tc 98.00 Tc.upf
CELL_PARAMETERS angstrom
4.0084 0.0000 0.0000
0.0000 4.3773 0.0000
0.0000 0.0000 4.3773
ATOMIC_POSITIONS angstrom
Ni 2.0042 2.1887 2.1887
S 2.0042 0.0000 0.0000
Mn 0.0000 0.0000 0.0000
Tc 0.0000 0.0000 2.1887
Tc 0.0000 2.1887 0.0000

4.
! In2Te3 (PBEsol, relaxed); values from VASP
! theoretical density = 6.88 Mg/m³
! total moment = 0.00 μB/cell
! energy = -17.766 eV per cell
! E_form (uncorrected) = -0.244 eV per atom
! space group = No. 166
&SYSTEM
  ibrav = 0, nat = 5, ntyp = 2
/
ATOMIC_SPECIES
Te 127.60 Te.upf
In 114.82 In.upf
CELL_PARAMETERS angstrom
4.2692 0.0000 0.0000
2.1346 3.6972 0.0000
2.1346 1.2324 9.3690
ATOMIC_POSITIONS angstrom
Te 0.0000 0.0000 0.0000
Te 2.1346 1.2324 3.4192
Te 6.4038 3.6972 5.9498
In 4.2692 2.4648 1.9031
In 4.2692 2.4648 7.4660

5.
! BaTa2Mn (PBEsol, relaxed); values from VASP
! theoretical density = 11.13 Mg/m³
! total moment = 3.01 μB/cell
! energy = -31.924 eV per cell
! polymorph energy (0 for the lowest one) = 15.51 kcal/mol of atoms
! space group = No. 65
&SYSTEM
  ibrav = 0, nat = 4, ntyp = 3
/
ATOMIC_SPECIES
Ba 137.33 Ba.upf
Mn 54.94 Mn.upf
Ta 180.95 Ta.upf
CELL_PARAMETERS angstrom
2.8581 0.0000 0.0000
0.0000 5.6282 0.0000
0.0000 -2.8141 5.1384
ATOMIC_POSITIONS angstrom
Ba 1.4290 0.0000 0.0000
Mn 1.4290 2.8141 0.0000
Ta 0.0000 -1.4071 2.5692
Ta 0.0000 1.4071 2.5692

6.
! KGeSbI2 (PBEsol, relaxed); values from VASP
! theoretical density = 3.56 Mg/m³
! total moment = 1.68 μB/cell
! energy = -10.324 eV per cell
! E_form (uncorrected) = 0.768 eV per atom
! space group = No. 123
&SYSTEM
  ibrav = 0, nat = 5, ntyp = 4
/
ATOMIC_SPECIES
I 126.90 I.upf
Sb 121.76 Sb.upf
Ge 72.64 Ge.upf
K 39.10 K.upf
CELL_PARAMETERS angstrom
6.0552 0.0000 0.0000
0.0000 6.0552 0.0000
0.0000 0.0000 6.2017
ATOMIC_POSITIONS angstrom
I 0.0000 3.0276 0.0000
I 3.0276 0.0000 0.0000
Sb 0.0000 0.0000 3.1008
Ge 3.0276 3.0276 3.1008
K 0.0000 0.0000 0.0000

7.
! BPtF3 (PBEsol, relaxed); values from VASP
! theoretical density = 5.95 Mg/m³
! total moment = 0.00 μB/cell
! energy = -18.910 eV per cell
! E_form (uncorrected) = 0.170 eV per atom
! space group = No. 221
&SYSTEM
  ibrav = 0, nat = 5, ntyp = 3
/
ATOMIC_SPECIES
B 10.81 B.upf
Pt 195.08 Pt.upf
F 19.00 F.upf
CELL_PARAMETERS angstrom
4.1873 0.0000 0.0000
0.0000 4.1873 0.0000
0.0000 0.0000 4.1873
ATOMIC_POSITIONS angstrom
B 2.0936 2.0936 2.0936
Pt 0.0000 0.0000 0.0000
F 0.0000 2.0936 0.0000
F 0.0000 0.0000 2.0936
F 2.0936 0.0000 0.0000

8.
! CsAsSe2I (PBEsol, relaxed); values from VASP
! theoretical density = 3.61 Mg/m³
! total moment = 1.79 μB/cell
! energy = -9.053 eV per cell
! E_form (uncorrected) = 1.293 eV per atom
! space group = No. 123
&SYSTEM
  ibrav = 0, nat = 5, ntyp = 4
/
ATOMIC_SPECIES
Cs 132.91 Cs.upf
I 126.90 I.upf
As 74.92 As.upf
Se 78.96 Se.upf
CELL_PARAMETERS angstrom
-3.0609 -4.6111 0.7833
0.6728 -1.3605 -5.3797
6.0134 -3.7048 1.6890
ATOMIC_POSITIONS angstrom
Cs 0.0000 0.0000 0.0000
I 1.8127 -4.8382 -1.4537
As 3.0067 -1.8524 0.8445
Se 0.3364 -0.6802 -2.6899
Se -1.5304 -2.3056 0.3917